[1]
# CdPtAu

An optimized crystal structure of CdPtAu (PBE-GGA, Alexandria via LeMat-Bulk).

Results
M_tot, μB per atom: 0.000
DOS(E_F), states/eV/cell: 0.816
ΔE to the lowest computed polymorph, eV per atom: 0.152
Space-group type: F-43m (216)

a = 4.4926 Å, b = 4.4926 Å, c = 4.4926 Å
α = 60.00°, β = 60.00°, γ = 60.00°
Fractional positions:
Cd 0.5000 0.5000 0.5000
Au 0.0000 0.0000 0.0000
Pt 0.7500 0.7500 0.7500

---

[2]
# CdPtAu

An optimized crystal structure of CdPtAu (PBE-GGA, Alexandria via LeMat-Bulk).

Results
M_tot, μB per atom: 0.000
DOS(E_F), states/eV/cell: 0.666
ΔE to the lowest computed polymorph, eV per atom: 0.029
Space-group type: I4mm (107)

a = 6.2231 Å, b = 6.2231 Å, c = 3.0232 Å
α = 75.94°, β = 75.94°, γ = 28.12°
Fractional positions:
Cd 0.3284 0.3284 0.6716
Pt 0.6677 0.6677 0.3323
Au 0.0039 0.0039 0.9961

---

| no. | DFT formation energy (meV/atom) | raw total energy (eV per atom) |
| --- | --- | --- |
| 1 | -33 | -3.4441 |
| 2 | -156 | -3.5670 |